No. 1
## InGaNF2 (meta-GGA SCAN)

Data for a PBEsol-optimized structure of InGaNF2.

symmetry: No. 123
final energy: -14.34 eV/atom
crystal system: tetragonal

Lattice parameters (Å, degrees): 3.987 3.987 3.901 90.00 90.00 90.00
Element x y z (fractional)
In 0.000 0.000 0.000
Ga 0.500 0.500 0.500
N 0.500 0.500 0.000
F 0.000 0.500 0.500
F 0.500 0.000 0.500

No. 2
## Ga3IrF (meta-GGA SCAN)

Data for a PBEsol-optimized structure of Ga3IrF.

symmetry: No. 221
final energy: -24.69 eV/atom
crystal system: cubic

Lattice parameters (Å, degrees): 4.247 4.247 4.247 90.00 90.00 90.00
Element x y z (fractional)
Ga 0.000 0.000 0.500
Ga 0.000 0.500 0.000
Ga 0.500 0.000 0.000
Ir 0.500 0.500 0.500
F 0.000 0.000 0.000

No. 3
## GaIrF2 (meta-GGA SCAN)

Data for a PBEsol-optimized structure of GaIrF2.

symmetry: No. 166
final energy: -24.66 eV/atom
crystal system: trigonal

Lattice parameters (Å, degrees): 8.041 8.041 8.041 19.25 19.25 19.25
Element x y z (fractional)
Ga 0.000 0.000 0.000
Ir 0.500 0.500 0.500
F 0.416 0.416 0.416
F 0.584 0.584 0.584

No. 4
## YGa2IrF (meta-GGA SCAN)

Data for a PBEsol-optimized structure of YGa2IrF.

symmetry: No. 123
final energy: -26.87 eV/atom
crystal system: tetragonal

Lattice parameters (Å, degrees): 5.327 5.327 3.977 90.00 90.00 90.00
Element x y z (fractional)
Y 0.000 0.000 0.000
Ga 0.000 0.500 0.000
Ga 0.500 0.000 0.000
Ir 0.500 0.500 0.500
F 0.000 0.000 0.500

No. 5
## KGaF4 (meta-GGA SCAN)

Data for a PBEsol-optimized structure of KGaF4.

symmetry: No. 62
final energy: -9.42 eV/atom
crystal system: orthorhombic

Lattice parameters (Å, degrees): 12.095 7.496 7.691 90.00 90.00 90.00
Element x y z (fractional)
K 0.015 0.250 0.125
K 0.027 0.250 0.625
K 0.473 0.750 0.125
K 0.485 0.750 0.625
K 0.515 0.250 0.375
K 0.527 0.250 0.875
K 0.973 0.750 0.375
K 0.985 0.750 0.875
Ga 0.248 0.501 0.375
Ga 0.248 0.999 0.375
Ga 0.252 0.001 0.875
Ga 0.252 0.499 0.875
Ga 0.748 0.501 0.125
Ga 0.748 0.999 0.125
Ga 0.752 0.001 0.625
Ga 0.752 0.499 0.625
F 0.099 0.045 0.366
F 0.099 0.455 0.366
F 0.103 0.047 0.884
F 0.103 0.453 0.884
F 0.211 0.750 0.415
F 0.216 0.750 0.835
F 0.246 0.045 0.625
F 0.246 0.455 0.625
F 0.254 0.545 0.125
F 0.254 0.955 0.125
F 0.284 0.250 0.335
F 0.289 0.250 0.915
F 0.397 0.547 0.384
F 0.397 0.953 0.384
F 0.401 0.545 0.866
F 0.401 0.955 0.866
F 0.599 0.045 0.134
F 0.599 0.455 0.134
F 0.603 0.047 0.616
F 0.603 0.453 0.616
F 0.711 0.750 0.085
F 0.716 0.750 0.665
F 0.746 0.045 0.875
F 0.746 0.455 0.875
F 0.754 0.545 0.375
F 0.754 0.955 0.375
F 0.784 0.250 0.165
F 0.789 0.250 0.585
F 0.897 0.547 0.116
F 0.897 0.953 0.116
F 0.901 0.545 0.634
F 0.901 0.955 0.634

No. 6
## K2RbGaF6 (meta-GGA SCAN)

Data for a PBEsol-optimized structure of K2RbGaF6.

symmetry: No. 225
final energy: -10.43 eV/atom
crystal system: cubic

Lattice parameters (Å, degrees): 6.320 6.320 6.320 60.00 60.00 60.00
Element x y z (fractional)
K 0.250 0.250 0.250
K 0.750 0.750 0.750
Rb 0.000 0.000 0.000
Ga 0.500 0.500 0.500
F 0.287 0.287 0.713
F 0.287 0.713 0.287
F 0.287 0.713 0.713
F 0.713 0.287 0.287
F 0.713 0.287 0.713
F 0.713 0.713 0.287

What are the DOS(E_F) values for these records? In order: 0.22; 0.51; 0.53; 0.60; 0.00; 0.00 states/eV per atom.
What are the formation energy from raw total energies values for these records? In order: -5.6; 0.2; -4.1; 0.8; -17.7; -29.3 eV/f.u..
What are the V values for these records? In order: 12.4; 15.3; 12.3; 22.6; 14.5; 17.8 Å³/atom.